A plane-wave DFT calculation with PBE was carried out for a relaxed Ir2RuRh5 crystal.

Values from the calculation:
- V (Å³ per atom) = 14.22
- energy (eV/cell) = -63.63
- formation energy from the elements (eV per atom) = 0.015
- space-group type = I4/mmm
- E above lowest polymorph (kJ per mole of atoms) = 0.00
- spin magnetization (μB/cell) = 0.0

Structure (POSCAR):
```
Ir2RuRh5
1.0
-1.921 1.921 7.704
1.921 -1.921 7.704
1.921 1.921 -7.704
Ir Ru Rh
2 1 5
Direct
0.248 0.248 0.000 Ir
0.752 0.752 0.000 Ir
0.500 0.500 0.000 Ru
0.000 0.000 0.000 Rh
0.124 0.624 0.500 Rh
0.376 0.876 0.500 Rh
0.624 0.124 0.500 Rh
0.876 0.376 0.500 Rh
```